Density functional theory data (PBE-GGA) for a relaxed structure of KSrNd2Te4.

POSCAR file:
```
KSrNd2Te4
1.0
-4.3110 -1.1193 1.0552
2.3612 -1.8020 7.7355
-0.6280 6.5840 4.4183
Nd Sr K Te
2 1 1 4
Cartesian
-0.6280 6.5840 4.4183 Nd
-2.4695 2.7323 2.7368 Nd
-0.9749 -1.4607 4.3953 Sr
0.8666 2.3910 6.0769 K
1.3362 3.5483 9.2233 Te
-3.9140 0.1144 3.9857 Te
-0.4846 -0.3766 7.5486 Te
-2.0932 4.0392 5.6604 Te
```

Results
As for the space group: P2/m (10). The calculation puts the total magnetization at 0.00 μB/f.u. As for the crystal system: monoclinic. For the raw formation energy, the calculation gives -1.480 eV/atom.

=====

Density functional theory data (PBE-GGA) for a relaxed structure of KSr3Nd2Te6.

POSCAR file:
```
KSr3Nd2Te6
1.0
4.6474 0.0000 0.0000
0.0000 9.4584 0.3960
-2.3237 -2.6700 9.8169
Te Nd K Sr
6 2 1 3
Cartesian
0.0000 2.2159 6.6374 Te
0.0000 6.7590 6.7846 Te
0.0000 2.4474 0.2363 Te
2.3237 4.5725 3.5755 Te
2.3237 4.3409 9.9766 Te
2.3237 0.0294 3.4283 Te
0.0000 2.2853 3.3872 Nd
2.3237 4.5030 6.8257 Nd
2.3237 0.0000 0.0000 K
2.3237 4.7292 0.1980 Sr
0.0000 7.0547 3.4986 Sr
2.3237 -0.2664 6.7143 Sr
```

Results
As for the space group: C2/m (12). The calculation puts the total magnetization at 0.00 μB/f.u. As for the crystal system: monoclinic. For the raw formation energy, the calculation gives -1.540 eV/atom.

=====

Density functional theory data (PBE-GGA) for a relaxed structure of KTbNd2.

POSCAR file:
```
KTbNd2
1.0
-2.8510 0.0984 2.2980
-3.3964 -0.5152 -1.2720
-0.8575 -13.3638 2.4278
K Nd Tb
1 2 1
Cartesian
0.0000 0.0000 0.0000 K
-5.8966 -4.2043 1.6234 Nd
-1.2083 -9.5763 1.8305 Nd
-3.5525 -6.8903 1.7269 Tb
```

Results
As for the space group: R-3m (166). The calculation puts the total magnetization at 0.00 μB/f.u. The formation energy from the elements comes out at 190 meV/atom. As for the crystal system: trigonal.

=====

Density functional theory data (PBE-GGA) for a relaxed structure of K2TbNdTe4.

POSCAR file:
```
K2TbNdTe4
1.0
-0.7856 3.0612 -3.2954
4.6431 -4.1010 -4.9165
-8.0747 -3.0155 -0.8762
K Te Nd Tb
2 4 1 1
Cartesian
-1.7158 -3.5583 -2.8963 K
-4.4302 0.0228 -2.0858 K
-0.9853 -0.1119 -3.0321 Te
1.6945 -3.6320 -3.7778 Te
-5.1261 -3.4845 -2.0148 Te
-3.2319 -3.9435 -6.0559 Te
0.0000 0.0000 0.0000 Nd
1.9287 -0.5199 -4.1059 Tb
```

Results
As for the space group: P2/m (10). The calculation puts the total magnetization at 0.00 μB/f.u. As for the crystal system: monoclinic. For the raw formation energy, the calculation gives -1.408 eV/atom.